[1]
Ho2ThPa | PBE | optimized geometry

The structure in POSCAR format:
```
Ho2ThPa
1.0
3.360 0.000 0.000
1.680 2.910 0.000
1.680 0.970 12.152
Pa Ho Th
1 2 1
Cartesian
0.000 0.000 0.000
1.680 0.970 8.939
5.041 2.910 3.213
3.360 1.940 6.076
```

Output
The polymorph energy (0 for the lowest one) comes out at 0.53 eV/f.u. The calculation puts the energy at -6.223 eV/atom. The energy of formation from the pure elements is 295 meV/atom.


[2]
Sr2TaGaH | PBE | optimized geometry

The structure in POSCAR format:
```
Sr2TaGaH
1.0
4.678 0.000 0.000
0.000 5.045 0.000
0.000 0.000 4.678
Sr H Ga Ta
2 1 1 1
Cartesian
0.000 0.000 2.339
2.339 0.000 0.000
0.000 0.000 0.000
0.000 2.522 0.000
2.339 2.522 2.339
```

Output
The calculation puts the energy at -3.815 eV/atom.


[3]
LaPm2SmHg4 | PBE | optimized geometry

The structure in POSCAR format:
```
LaPm2SmHg4
1.0
-0.150 4.195 3.425
0.583 -0.827 5.322
8.921 2.098 2.106
La Pm Sm Hg
1 2 1 4
Cartesian
0.000 0.000 0.000
7.004 4.098 8.141
2.349 1.368 2.712
4.677 2.733 5.427
7.910 3.092 5.129
3.769 3.739 8.440
5.585 1.727 2.414
1.444 2.374 5.725
```

Output
The calculation puts the energy at -3.022 eV/atom. The energy of formation from the pure elements is -478 meV/atom.


[4]
Pr12Nd3Ag | PBE | optimized geometry

The structure in POSCAR format:
```
Pr12Nd3Ag
1.0
5.171 0.000 0.000
0.000 5.171 0.000
0.000 0.000 20.749
Pr Nd Ag
12 3 1
Cartesian
2.586 2.586 0.000
2.586 2.586 5.015
2.586 2.586 10.375
2.586 2.586 15.735
2.586 0.000 2.458
2.586 0.000 7.726
2.586 0.000 13.023
2.586 0.000 18.291
0.000 2.586 2.458
0.000 2.586 7.726
0.000 2.586 13.023
0.000 2.586 18.291
0.000 0.000 5.077
0.000 0.000 10.375
0.000 0.000 15.672
0.000 0.000 0.000
```

Output
The calculation puts the energy at -4.638 eV/atom. The energy of formation from the pure elements is 18 meV/atom.


[5]
BaCdN | PBE | optimized geometry

The structure in POSCAR format:
```
BaCdN
1.0
-0.687 -2.736 3.522
0.162 -2.014 -4.424
8.478 0.981 2.417
Ba Cd N
2 2 2
Cartesian
6.912 0.141 1.458
1.041 -3.909 0.057
4.002 -1.800 -0.617
3.951 -1.969 2.133
-0.108 -1.844 1.437
8.061 -1.925 0.078
```

Output
The polymorph energy (0 for the lowest one) comes out at 0.00 eV/f.u. The calculation puts the energy at -4.068 eV/atom. The calculation puts the uncorrected formation energy at -0.347 eV per atom.


[6]
Na2TlSbBr6 | PBE | optimized geometry

The structure in POSCAR format:
```
Na2TlSbBr6
1.0
7.629 0.002 0.001
3.816 6.606 0.000
3.815 2.202 6.954
Na Tl Sb Br
2 1 1 6
Cartesian
7.631 4.405 3.042
3.816 2.203 6.898
11.443 6.607 3.913
3.815 2.202 0.127
6.276 2.125 1.649
6.331 6.716 1.648
10.281 4.374 1.648
8.489 6.412 5.318
8.939 2.656 5.321
5.461 4.144 5.318
```

Output
The calculation puts the energy at -2.953 eV/atom. The calculation puts the uncorrected formation energy at -1.037 eV per atom.


[7]
PrSm2Ag | PBE | optimized geometry

The structure in POSCAR format:
```
PrSm2Ag
1.0
3.681 0.000 0.000
1.840 3.188 0.000
1.840 1.063 10.691
Pr Sm Ag
1 2 1
Cartesian
3.681 2.125 5.357
1.840 1.063 8.364
1.840 1.063 2.322
5.521 3.188 10.684
```

Output
The polymorph energy (0 for the lowest one) comes out at 0.50 eV/f.u. The calculation puts the energy at -4.259 eV/atom. The energy of formation from the pure elements is 9 meV/atom.


[8]
Ce7FeBr12 | PBE | optimized geometry

The structure in POSCAR format:
```
Ce7FeBr12
1.0
2.388 3.025 -8.608
1.775 -9.256 0.357
-9.314 1.149 0.937
Ce Fe Br
7 1 12
Cartesian
-4.744 -2.399 -7.248
0.643 -0.049 -2.637
-2.604 0.395 -0.660
-2.576 -2.541 -3.657
-2.548 -5.478 -6.655
-5.794 -5.033 -4.677
-0.408 -2.683 -0.067
0.000 0.000 0.000
-4.486 0.767 -7.114
1.321 0.108 -5.740
-2.190 0.428 -3.659
-1.800 -2.523 -6.549
-5.710 0.754 -1.237
-5.457 -2.047 -4.304
0.305 -3.035 -3.011
0.558 -5.837 -6.078
-3.352 -2.559 -0.766
-2.961 -5.510 -3.655
-6.472 -5.191 -1.575
-0.666 -5.849 -0.201
```

Output
The calculation puts the energy at -4.983 eV/atom. The calculation puts the uncorrected formation energy at -1.480 eV per atom.


[9]
BaYBi3 | PBE | optimized geometry

The structure in POSCAR format:
```
BaYBi3
1.0
-5.740 1.476 -0.077
-0.458 -2.071 -5.535
-1.405 -5.354 2.119
Y Bi Ba
1 3 1
Cartesian
0.000 0.000 0.000
-0.229 -1.035 -2.768
-0.703 -2.677 1.060
-2.870 0.738 -0.039
-3.802 -2.975 -1.747
```

Output
The polymorph energy (0 for the lowest one) comes out at 0.00 eV/f.u. The calculation puts the energy at -4.382 eV/atom. The energy of formation from the pure elements is -376 meV/atom.


[10]
RbMn2Ni | PBE | optimized geometry

The structure in POSCAR format:
```
RbMn2Ni
1.0
0.000 3.415 3.415
3.415 0.000 3.415
3.415 3.415 0.000
Ni Mn Rb
1 2 1
Cartesian
0.000 0.000 0.000
1.707 1.707 1.707
5.122 5.122 5.122
3.415 3.415 3.415
```

Output
The polymorph energy (0 for the lowest one) comes out at 1.31 eV/f.u. The calculation puts the energy at -4.992 eV/atom. The energy of formation from the pure elements is 1280 meV/atom.


[11]
RbAsPdSe2 | PBE | optimized geometry

The structure in POSCAR format:
```
RbAsPdSe2
1.0
-1.098 -1.388 5.038
4.086 -3.438 -0.057
2.888 3.406 1.568
As Se Rb Pd
1 2 1 1
Cartesian
1.444 1.703 0.784
2.043 -1.719 -0.029
-0.549 -0.694 2.519
2.938 -0.710 3.275
0.000 0.000 0.000
```

Output
The polymorph energy (0 for the lowest one) comes out at 0.00 eV/f.u. The calculation puts the energy at -3.669 eV/atom. The calculation puts the uncorrected formation energy at -0.114 eV per atom.


[12]
PuAgHg2O6 | PBE | optimized geometry

The structure in POSCAR format:
```
PuAgHg2O6
1.0
-5.570 1.792 2.995
-0.145 -0.499 5.347
-0.649 5.556 3.122
Pu Ag Hg O
1 1 2 6
Cartesian
-1.840 0.695 2.798
-5.022 4.119 8.530
-3.906 2.415 5.605
-5.994 6.323 6.109
-2.689 2.114 3.989
-1.327 2.035 1.631
-5.447 2.720 6.935
-3.003 4.912 7.088
-4.452 6.018 4.779
-1.641 4.832 4.729
```

Output
The calculation puts the energy at -5.852 eV/atom. The calculation puts the uncorrected formation energy at -1.099 eV per atom.


Please write out number 12 again, unchanged.
PuAgHg2O6 | PBE | optimized geometry

The structure in POSCAR format:
```
PuAgHg2O6
1.0
-5.570 1.792 2.995
-0.145 -0.499 5.347
-0.649 5.556 3.122
Pu Ag Hg O
1 1 2 6
Cartesian
-1.840 0.695 2.798
-5.022 4.119 8.530
-3.906 2.415 5.605
-5.994 6.323 6.109
-2.689 2.114 3.989
-1.327 2.035 1.631
-5.447 2.720 6.935
-3.003 4.912 7.088
-4.452 6.018 4.779
-1.641 4.832 4.729
```

Output
The calculation puts the energy at -5.852 eV/atom. The calculation puts the uncorrected formation energy at -1.099 eV per atom.


Number 7 is which compound?
PrSm2Ag


The highest energy belongs to which entry?
Na2TlSbBr6